Record 1
InBRh3 | PBE | relaxed

Cell and atoms, written as POSCAR:
```
InBRh3
1.0
-4.580 -0.685 -2.501
-0.531 -4.908 1.826
-2.785 1.602 4.169
Rh In B
6 2 2
Cartesian
-5.260 -0.034 3.181
-2.637 -3.957 0.312
-5.425 -2.861 -0.420
-3.134 -4.089 3.353
-2.472 -1.130 3.914
-4.762 0.098 0.141
-3.948 -1.996 1.747
0.000 0.000 0.000
-5.922 -2.994 2.620
-1.974 -0.998 0.873
```

Results
DOS(E_F): 12.32 states/eV per cell
VASP energy: -0.45373 Ry/atom
mass density: 9.9 g/cm³

Record 2
In2BRh2 | PBE | relaxed

Cell and atoms, written as POSCAR:
```
In2BRh2
1.0
-3.541 2.167 4.171
-0.352 -5.329 2.470
3.648 0.963 2.597
Rh In B
4 4 2
Cartesian
-0.718 -1.391 1.524
-3.175 -1.771 5.117
-2.432 0.546 3.213
-1.461 -3.709 3.427
0.587 0.309 3.099
0.996 -2.713 3.646
-0.833 -2.509 6.139
-1.241 0.513 5.592
0.000 0.000 0.000
-1.947 -1.581 3.320
```

Results
DOS(E_F): 2.71 states/eV per cell
VASP energy: -0.40763 Ry/atom
mass density: 9.3 g/cm³

Record 3
InBRh3 | PBE | relaxed

Cell and atoms, written as POSCAR:
```
InBRh3
1.0
5.780 -0.004 0.000
2.891 5.888 0.001
0.000 -0.001 4.186
B Rh In
2 6 2
Cartesian
2.186 1.417 1.798
5.077 4.503 1.798
3.694 0.016 1.797
2.184 1.496 3.891
5.079 4.426 3.891
6.521 2.958 1.798
0.677 0.017 1.798
3.631 2.960 1.798
2.188 4.315 3.891
5.076 1.607 3.891
```

Results
DOS(E_F): 9.27 states/eV per cell
VASP energy: -0.48764 Ry/atom
mass density: 10.1 g/cm³

Record 4
InBRh3 | PBE | relaxed

Cell and atoms, written as POSCAR:
```
InBRh3
1.0
5.284 0.000 0.279
0.000 5.677 0.000
-1.213 0.000 4.746
In B Rh
2 2 6
Cartesian
0.784 1.419 1.835
3.287 4.258 3.190
2.417 4.258 0.606
1.654 1.419 4.420
3.284 1.419 3.165
0.141 2.842 4.232
3.929 2.835 0.794
3.929 0.003 0.794
0.141 5.674 4.232
0.787 4.258 1.861
```

Results
DOS(E_F): 6.36 states/eV per cell
VASP energy: -0.48028 Ry/atom
mass density: 10.0 g/cm³

Record 5
In3BRh | PBE | relaxed

Cell and atoms, written as POSCAR:
```
In3BRh
1.0
-1.966 -3.933 -1.454
2.902 -2.435 2.664
-3.027 0.220 3.499
In Rh B
3 1 1
Cartesian
1.451 -1.218 1.332
-1.513 0.110 1.749
-0.983 -1.967 -0.727
-1.045 -3.074 2.354
0.000 0.000 0.000
```

Results
DOS(E_F): 3.73 states/eV per cell
VASP energy: -0.27507 Ry/atom
mass density: 7.7 g/cm³

Record 6
InBRh3 | PBE | relaxed

Cell and atoms, written as POSCAR:
```
InBRh3
1.0
-6.816 2.366 -2.282
2.913 -4.919 0.799
-3.111 2.247 4.319
Rh In B
6 2 2
Cartesian
-7.170 1.937 2.190
-1.188 -1.549 0.519
-2.775 -0.411 2.730
-4.193 1.998 2.329
-5.583 0.799 -0.021
-4.166 -1.610 0.380
-2.652 0.904 0.152
-5.706 -0.516 2.557
-0.771 -0.989 2.496
-2.722 -2.266 1.754
```

Results
DOS(E_F): 7.59 states/eV per cell
VASP energy: -0.48923 Ry/atom
mass density: 10.2 g/cm³

Record 7
InBRh3 | PBE | relaxed

Cell and atoms, written as POSCAR:
```
InBRh3
1.0
20.572 0.000 -2.973
0.000 5.414 0.000
-7.394 0.000 3.716
Rh In B
12 4 4
Cartesian
1.155 5.185 0.757
-4.840 1.749 2.841
12.022 0.229 -0.014
5.434 2.478 -0.386
14.051 0.447 -1.985
13.110 3.154 -0.616
0.068 2.260 1.360
-0.873 4.967 2.728
4.035 4.456 1.246
18.018 3.665 -2.098
7.744 2.936 1.129
9.143 0.958 -0.503
3.761 1.698 1.542
-4.566 4.405 2.546
9.417 3.716 -0.798
17.744 1.009 -1.803
7.148 1.375 -0.203
-0.559 4.082 0.574
6.030 4.039 0.946
13.737 1.332 0.169
```

Results
DOS(E_F): 16.14 states/eV per cell
VASP energy: -0.47883 Ry/atom
mass density: 9.8 g/cm³

Record 8
InBRh3 | PBE | relaxed

Cell and atoms, written as POSCAR:
```
InBRh3
1.0
2.439 -7.283 -0.666
-5.045 -5.632 -1.505
0.013 -3.445 -6.897
B Rh In
4 12 4
Cartesian
0.896 -5.686 -1.467
-0.317 -3.767 -4.582
-0.324 -2.045 -1.134
-2.846 -4.861 -1.886
-0.135 -2.235 -3.193
-2.116 -3.092 -1.081
0.984 -9.730 -6.377
0.821 -5.088 -3.454
-3.576 -6.630 -2.692
0.976 -7.634 -2.182
-2.092 -11.060 -3.097
-2.111 -4.441 -3.783
-3.568 -8.726 -6.887
0.815 -3.739 -0.752
-0.500 -5.300 -5.971
-1.161 -5.945 -1.342
-1.620 -10.225 -5.668
-2.840 -6.584 -5.335
0.902 -7.409 -4.915
-1.627 -8.503 -2.220
```

Results
DOS(E_F): 20.41 states/eV per cell
VASP energy: -0.47658 Ry/atom
mass density: 8.9 g/cm³

Record 9
InBRh3 | PBE | relaxed

Cell and atoms, written as POSCAR:
```
InBRh3
1.0
-1.969 2.512 6.690
-3.284 -1.879 -6.374
-0.466 -4.673 1.618
Rh B In
6 2 2
Cartesian
-1.591 -1.682 -1.505
0.000 0.000 0.000
-0.233 -2.336 0.809
-1.424 -2.684 3.275
-4.128 -2.358 3.438
-4.295 -1.356 -1.342
-2.815 -1.092 -0.152
-2.904 -2.948 2.086
-2.552 -1.774 5.579
-3.167 -2.266 -3.645
```

Results
DOS(E_F): 10.09 states/eV per cell
VASP energy: -0.42950 Ry/atom
mass density: 7.9 g/cm³

Record 10
InBRh3 | PBE | relaxed

Cell and atoms, written as POSCAR:
```
InBRh3
1.0
18.116 0.000 -5.360
0.000 3.891 0.000
-6.844 0.000 6.017
In Rh B
4 12 4
Cartesian
0.782 0.973 0.995
10.491 2.918 -0.338
6.418 0.973 1.323
4.854 2.918 -0.667
7.684 2.918 -0.174
2.048 2.918 -0.502
9.224 0.973 1.159
12.030 0.973 -1.558
4.878 2.918 2.543
9.011 0.973 -1.719
6.394 0.973 -1.886
-0.758 2.918 2.215
3.588 0.973 0.830
-3.469 0.973 3.970
2.261 2.918 2.375
14.741 2.918 -3.313
-1.923 0.973 2.559
13.195 2.918 -1.902
3.713 0.973 2.887
7.559 2.918 -2.230
```

Results
DOS(E_F): 18.23 states/eV per cell
VASP energy: -0.48419 Ry/atom
mass density: 10.3 g/cm³

Record 11
InBRh3 | PBE | relaxed

Cell and atoms, written as POSCAR:
```
InBRh3
1.0
-1.195 2.290 -2.357
-2.221 -1.555 2.209
2.006 11.335 9.993
B In Rh
2 2 6
Cartesian
-1.035 3.842 1.663
-0.374 8.228 8.182
1.003 5.667 4.997
0.000 0.000 0.000
-0.641 6.720 6.852
-0.768 5.350 2.993
0.502 2.834 2.498
-0.107 9.736 9.512
1.505 8.501 7.495
-1.302 2.334 0.333
```

Results
DOS(E_F): 11.65 states/eV per cell
VASP energy: -0.45967 Ry/atom
mass density: 8.9 g/cm³

Record 12
InBRh3 | PBE | relaxed

Cell and atoms, written as POSCAR:
```
InBRh3
1.0
5.150 0.000 -0.333
0.000 5.820 0.000
-1.723 0.000 4.881
Rh In B
6 2 2
Cartesian
2.438 4.365 3.500
0.989 1.455 1.047
3.425 2.911 0.950
0.002 0.001 3.598
0.002 2.909 3.598
3.425 5.819 0.950
2.481 1.455 3.482
0.946 4.365 1.066
4.036 4.365 2.297
-0.609 1.455 2.250
```

Results
DOS(E_F): 11.26 states/eV per cell
VASP energy: -0.48196 Ry/atom
mass density: 10.1 g/cm³